Entry from the Alexandria database: an optimized crystal structure of ScFe2O (PBE with a Hubbard U).

Computed properties:
* calculated total energy: -5.99 eV/atom
* total magnetic moment: 11.86 μB/cell
* density: 4.7 g/cm³

Structure (POSCAR):
```
ScFe2O
1.0
7.6473 0.0000 0.0000
0.0000 7.6473 0.0000
3.8236 3.8236 2.0863
Sc Fe O
2 4 2
Direct
0.0000 0.0000 0.0000
0.7500 0.2500 0.5000
0.5164 0.1250 0.2500
0.2336 0.6250 0.2500
0.3750 0.4836 0.7500
0.8750 0.7664 0.7500
0.5000 0.5000 0.0000
0.2500 0.7500 0.5000
```